Below is a relaxed structure of Y2PS, with properties calculated at the PBE level.

```
Y2PS
1.0
3.971 0.000 0.000
0.000 3.971 0.000
0.000 0.000 5.591
Y P S
2 1 1
Cartesian
0.000 0.000 0.000 Y
1.985 1.985 2.796 Y
0.000 0.000 2.796 P
1.985 1.985 0.000 S
```

Values from the calculation:
The total magnetization comes out at 0.0 μB/f.u. The raw formation energy is -1.88 eV/atom. The calculation puts the uncorrected energy at -7.497 eV/atom.

Below is a relaxed structure of CrCd2Ir, with properties calculated at the PBE level.

```
CrCd2Ir
1.0
3.059 0.000 0.000
0.000 4.840 0.000
0.000 0.000 9.462
Cr Cd Ir
2 4 2
Cartesian
0.000 0.000 0.000 Cr
1.530 2.420 0.000 Cr
0.000 2.420 2.388 Cd
0.000 2.420 7.074 Cd
1.530 0.000 2.388 Cd
1.530 0.000 7.074 Cd
0.000 0.000 4.731 Ir
1.530 2.420 4.731 Ir
```

Values from the calculation:
The calculation puts the formation energy at 0.484 eV/atom. The total magnetization comes out at 3.3 μB/f.u. The calculation puts the uncorrected energy at -4.595 eV/atom.

Below is a relaxed structure of TlInCo2, with properties calculated at the PBE level.

```
TlInCo2
1.0
7.131 0.000 0.000
0.000 7.131 0.000
0.000 0.000 5.711
Tl In Co
4 4 8
Cartesian
0.000 0.000 0.000 Tl
0.000 3.565 1.428 Tl
3.565 0.000 4.283 Tl
3.565 3.565 2.856 Tl
0.000 0.000 2.856 In
0.000 3.565 4.283 In
3.565 0.000 1.428 In
3.565 3.565 0.000 In
1.754 1.783 3.569 Co
1.783 5.320 4.997 Co
1.783 5.376 2.142 Co
1.811 1.783 0.714 Co
5.320 5.348 0.714 Co
5.348 1.754 2.142 Co
5.348 1.811 4.997 Co
5.376 5.348 3.569 Co
```

Values from the calculation:
The calculation puts the formation energy at 0.743 eV/atom. The total magnetization comes out at 2.1 μB/f.u. The calculation puts the uncorrected energy at -4.086 eV/atom.

Below is a relaxed structure of Hg5Cl12F3, with properties calculated at the PBE level.

```
Hg5Cl12F3
1.0
-8.078 8.078 8.078
8.078 -8.078 8.078
8.078 8.078 -8.078
Hg Cl F
20 48 12
Cartesian
0.000 0.000 0.000 Hg
4.039 4.039 -4.039 Hg
4.039 -4.039 4.039 Hg
8.078 0.000 0.000 Hg
12.116 2.019 0.000 Hg
8.078 -4.039 6.058 Hg
6.058 8.078 -4.039 Hg
6.058 0.000 4.039 Hg
4.039 6.058 0.000 Hg
8.078 4.039 2.019 Hg
-4.039 4.039 4.039 Hg
0.000 8.078 0.000 Hg
0.000 0.000 8.078 Hg
4.039 4.039 4.039 Hg
0.000 4.039 6.058 Hg
4.039 2.019 8.078 Hg
2.019 8.078 4.039 Hg
2.019 0.000 12.116 Hg
0.000 12.116 2.019 Hg
-4.039 6.058 8.078 Hg
2.343 -0.563 1.202 Cl
9.773 5.241 -4.602 Cl
7.515 -1.202 2.343 Cl
12.679 -1.695 2.836 Cl
10.421 0.563 1.202 Cl
9.773 -2.836 4.602 Cl
1.202 2.343 -0.563 Cl
10.914 3.476 -1.695 Cl
5.241 4.602 -1.695 Cl
6.875 2.343 0.563 Cl
-0.563 1.202 2.343 Cl
4.602 -1.695 5.241 Cl
7.515 6.875 -2.343 Cl
4.602 1.695 2.836 Cl
6.875 -2.343 7.515 Cl
5.241 -4.602 9.773 Cl
2.836 4.602 1.695 Cl
9.280 5.734 0.563 Cl
2.343 7.515 -1.202 Cl
9.773 2.836 3.476 Cl
4.602 9.773 -2.836 Cl
7.515 1.202 5.734 Cl
1.695 2.836 4.602 Cl
2.343 0.563 6.875 Cl
5.734 7.515 1.202 Cl
6.382 5.241 3.476 Cl
0.563 6.875 2.343 Cl
3.476 -1.695 10.914 Cl
-1.695 5.241 4.602 Cl
5.734 0.563 9.280 Cl
-1.202 2.343 7.515 Cl
5.241 3.476 6.382 Cl
2.836 12.679 -1.695 Cl
1.202 10.421 0.563 Cl
3.476 6.382 5.241 Cl
0.563 1.202 10.421 Cl
3.476 9.773 2.836 Cl
8.641 6.875 5.734 Cl
1.202 5.734 7.515 Cl
2.836 3.476 9.773 Cl
-2.836 4.602 9.773 Cl
6.875 5.734 8.641 Cl
-1.695 10.914 3.476 Cl
-2.343 7.515 6.875 Cl
-4.602 9.773 5.241 Cl
0.563 9.280 5.734 Cl
-1.695 2.836 12.679 Cl
5.734 8.641 6.875 Cl
4.039 2.019 0.000 F
8.078 4.039 -2.019 F
2.019 0.000 4.039 F
10.097 0.000 4.039 F
0.000 4.039 2.019 F
4.039 -2.019 8.078 F
4.039 10.097 0.000 F
8.078 4.039 6.058 F
-2.019 8.078 4.039 F
6.058 8.078 4.039 F
0.000 4.039 10.097 F
4.039 6.058 8.078 F
```

Values from the calculation:
The total magnetization comes out at 5.2 μB/f.u. The raw formation energy is -0.21 eV/atom. The calculation puts the uncorrected energy at -1.670 eV/atom.

Below is a relaxed structure of Sb5Pd12Pt2, with properties calculated at the PBE level.

```
Sb5Pd12Pt2
1.0
7.445 -2.780 0.000
7.445 2.780 0.000
-2.000 0.000 8.593
Sb Pd Pt
5 12 2
Cartesian
0.000 0.000 0.000 Sb
4.263 0.000 1.155 Sb
4.301 0.000 5.342 Sb
8.589 0.000 3.251 Sb
8.627 0.000 7.439 Sb
3.671 1.452 3.261 Pd
-0.254 0.000 6.705 Pd
3.430 1.359 7.655 Pd
9.460 1.359 0.938 Pd
9.219 1.452 5.333 Pd
6.851 0.000 1.332 Pd
6.038 0.000 7.261 Pd
3.671 -1.452 3.261 Pd
3.430 -1.359 7.655 Pd
9.460 -1.359 0.938 Pd
13.144 0.000 1.888 Pd
9.219 -1.452 5.333 Pd
6.445 1.431 4.297 Pt
6.445 -1.431 4.297 Pt
```

Values from the calculation:
The total magnetization comes out at 0.0 μB/f.u. The raw formation energy is -0.25 eV/atom. The calculation puts the uncorrected energy at -5.254 eV/atom.

Below is a relaxed structure of Th8Te4Ir3Pt, with properties calculated at the PBE level.

```
Th8Te4Ir3Pt
1.0
4.216 2.434 7.690
-4.216 2.434 7.690
0.000 -4.868 7.690
Th Te Ir Pt
8 4 3 1
Cartesian
-2.142 -1.237 13.102 Th
0.000 0.000 5.411 Th
0.000 -2.473 9.967 Th
-2.142 1.237 9.967 Th
2.142 -1.237 13.102 Th
0.000 2.473 13.102 Th
0.000 0.000 17.658 Th
2.142 1.237 9.967 Th
0.000 0.000 0.000 Te
-2.108 -1.217 7.690 Te
-2.108 1.217 15.379 Te
0.000 2.434 7.690 Te
-4.216 0.000 11.534 Ir
-2.108 1.217 3.845 Ir
2.108 1.217 3.845 Ir
0.000 0.000 11.535 Pt
```

Values from the calculation:
The total magnetization comes out at 0.0 μB/f.u. The raw formation energy is -1.15 eV/atom. The calculation puts the uncorrected energy at -7.685 eV/atom.

Below is a relaxed structure of Dy12Tl5Au2, with properties calculated at the PBE level.

```
Dy12Tl5Au2
1.0
8.577 -3.636 0.000
8.577 3.636 0.000
-0.863 0.000 8.952
Dy Tl Au
12 5 2
Cartesian
-0.153 0.000 1.777 Dy
5.164 1.866 8.854 Dy
5.380 1.773 5.143 Dy
11.128 1.866 0.098 Dy
10.911 1.773 3.809 Dy
7.585 0.000 2.828 Dy
8.707 0.000 6.125 Dy
5.380 -1.773 5.143 Dy
5.164 -1.866 8.854 Dy
10.911 -1.773 3.809 Dy
11.128 -1.866 0.098 Dy
16.445 0.000 7.175 Dy
2.871 0.000 6.622 Tl
4.441 0.000 2.227 Tl
8.577 0.000 0.000 Tl
11.850 0.000 6.726 Tl
13.421 0.000 2.331 Tl
8.146 2.269 4.476 Au
8.146 -2.269 4.476 Au
```

Values from the calculation:
The calculation puts the formation energy at -0.253 eV/atom. The total magnetization comes out at 0.0 μB/f.u. The calculation puts the uncorrected energy at -4.128 eV/atom.

Below is a relaxed structure of Be8Si, with properties calculated at the PBE level.

```
Be8Si
1.0
-3.517 3.517 1.639
3.517 -3.517 1.639
3.517 3.517 -1.639
Be Si
8 1
Cartesian
2.384 0.000 0.000 Be
4.649 0.000 0.000 Be
2.319 2.319 0.000 Be
1.197 -1.197 1.639 Be
0.000 2.384 0.000 Be
0.000 4.649 0.000 Be
-1.197 1.197 1.639 Be
1.197 1.197 1.639 Be
0.000 0.000 0.000 Si
```

Values from the calculation:
The total magnetization comes out at 0.0 μB/f.u. The raw formation energy is 0.23 eV/atom. The calculation puts the uncorrected energy at -3.685 eV/atom.

Below is a relaxed structure of Zr5Al3, with properties calculated at the PBE level.

```
Zr5Al3
1.0
-5.545 5.545 2.694
5.545 -5.545 2.694
5.545 5.545 -2.694
Zr Al
10 6
Cartesian
8.658 0.877 0.000 Zr
0.877 2.432 0.000 Zr
5.545 0.000 1.347 Zr
6.422 3.113 0.000 Zr
3.113 4.668 0.000 Zr
2.432 0.877 2.694 Zr
-0.877 2.432 2.694 Zr
0.000 5.545 1.347 Zr
4.668 3.113 2.694 Zr
-3.113 4.668 2.694 Zr
3.735 1.810 0.000 Al
0.000 0.000 1.347 Al
3.735 -1.810 2.694 Al
1.810 7.355 0.000 Al
0.000 0.000 4.040 Al
1.810 3.735 2.694 Al
```

Values from the calculation:
The calculation puts the formation energy at -0.377 eV/atom. The total magnetization comes out at 1.5 μB/f.u. The calculation puts the uncorrected energy at -7.123 eV/atom.

Below is a relaxed structure of La2RhCl, with properties calculated at the PBE level.

```
La2RhCl
1.0
4.518 0.000 0.000
0.000 3.779 0.000
0.000 0.000 11.717
La Rh Cl
4 2 2
Cartesian
0.000 0.000 0.000 La
0.000 1.890 5.859 La
2.259 0.000 2.949 La
2.259 1.890 8.808 La
2.259 0.000 5.860 Rh
2.259 1.890 0.001 Rh
0.000 0.000 8.725 Cl
0.000 1.890 2.866 Cl
```

Values from the calculation:
The total magnetization comes out at 0.0 μB/f.u. The raw formation energy is -1.06 eV/atom. The calculation puts the uncorrected energy at -5.818 eV/atom.

Below is a relaxed structure of HfHIr, with properties calculated at the PBE level.

```
HfHIr
1.0
3.189 0.000 0.000
0.000 3.189 0.000
0.000 0.000 7.662
Hf H Ir
2 2 2
Cartesian
0.797 0.797 1.383 Hf
2.392 2.392 6.279 Hf
0.797 2.392 0.000 H
2.392 0.797 0.000 H
0.797 0.797 4.807 Ir
2.392 2.392 2.855 Ir
```

Values from the calculation:
The total magnetization comes out at 0.0 μB/f.u. The calculation puts the uncorrected energy at -7.978 eV/atom.

Below is a relaxed structure of Y2RuPt, with properties calculated at the PBE level.

```
Y2RuPt
1.0
3.910 0.000 0.000
0.000 3.910 0.000
0.000 0.000 5.853
Y Ru Pt
2 1 1
Cartesian
0.000 0.000 0.000 Y
1.955 1.955 2.253 Y
1.955 1.955 5.114 Ru
0.000 0.000 2.995 Pt
```

Values from the calculation:
The calculation puts the formation energy at -0.463 eV/atom. The total magnetization comes out at 0.0 μB/f.u. The calculation puts the uncorrected energy at -7.524 eV/atom.

Below is a relaxed structure of SrZnGe3, with properties calculated at the PBE level.

```
SrZnGe3
1.0
4.985 0.000 0.000
0.000 4.985 0.000
0.000 0.000 4.985
Sr Zn Ge
1 1 3
Cartesian
0.000 0.000 0.000 Sr
2.493 2.493 2.493 Zn
0.000 2.493 2.493 Ge
2.493 0.000 2.493 Ge
2.493 2.493 0.000 Ge
```

Values from the calculation:
The calculation puts the formation energy at 0.093 eV/atom. The total magnetization comes out at 0.0 μB/f.u. The calculation puts the uncorrected energy at -3.269 eV/atom.

Below is a relaxed structure of TlReS2, with properties calculated at the PBE level.

```
TlReS2
1.0
6.496 0.000 0.000
0.000 6.496 0.000
0.000 0.000 6.496
Tl Re S
4 4 8
Cartesian
0.000 0.000 0.000 Tl
0.000 3.248 3.248 Tl
3.248 0.000 3.248 Tl
3.248 3.248 0.000 Tl
0.000 0.000 3.248 Re
0.000 3.248 0.000 Re
3.248 0.000 0.000 Re
3.248 3.248 3.248 Re
1.624 1.624 1.624 S
1.624 1.624 4.872 S
1.624 4.872 1.624 S
1.624 4.872 4.872 S
4.872 1.624 1.624 S
4.872 1.624 4.872 S
4.872 4.872 1.624 S
4.872 4.872 4.872 S
```

Values from the calculation:
The total magnetization comes out at 0.0 μB/f.u. The raw formation energy is 0.75 eV/atom. The calculation puts the uncorrected energy at -5.017 eV/atom.

Below is a relaxed structure of YTm4Sc, with properties calculated at the PBE level.

```
YTm4Sc
1.0
4.327 -7.154 0.000
4.327 7.154 0.000
-2.121 0.000 5.853
Y Tm Sc
2 8 2
Cartesian
2.736 5.919 4.389 Y
3.797 -5.919 1.463 Y
-0.052 1.818 5.134 Tm
2.513 2.761 2.712 Tm
1.009 -1.818 2.207 Tm
5.081 2.761 0.214 Tm
1.452 -2.761 5.638 Tm
5.524 1.818 3.645 Tm
4.021 -2.761 3.141 Tm
6.585 -1.818 0.719 Tm
3.797 0.009 1.463 Sc
2.736 -0.009 4.389 Sc
```

Values from the calculation:
The calculation puts the formation energy at 0.137 eV/atom. The total magnetization comes out at 0.0 μB/f.u. The calculation puts the uncorrected energy at -4.976 eV/atom.

Below is a relaxed structure of GaTeAs3, with properties calculated at the PBE level.

```
GaTeAs3
1.0
5.363 0.000 0.000
0.000 5.363 0.000
0.000 0.000 5.363
Ga Te As
1 1 3
Cartesian
0.000 0.000 0.000 Ga
2.681 2.681 2.681 Te
0.000 2.681 2.681 As
2.681 0.000 2.681 As
2.681 2.681 0.000 As
```

Values from the calculation:
The total magnetization comes out at 0.0 μB/f.u. The raw formation energy is 0.94 eV/atom. The calculation puts the uncorrected energy at -3.087 eV/atom.

Below is a relaxed structure of Er6C3S, with properties calculated at the PBE level.

```
Er6C3S
1.0
10.032 0.000 0.000
0.000 3.577 0.000
-4.931 0.000 11.356
Er C S
12 6 2
Cartesian
-1.104 0.894 2.858 Er
-1.416 2.683 6.575 Er
1.347 2.683 1.104 Er
1.349 2.683 4.465 Er
-1.130 0.894 10.585 Er
3.735 0.894 2.581 Er
1.366 2.683 8.775 Er
6.231 2.683 0.771 Er
3.753 0.894 6.891 Er
3.755 0.894 10.252 Er
6.518 0.894 4.781 Er
6.206 2.683 8.498 Er
6.959 0.894 7.075 C
-1.858 2.683 4.282 C
1.308 0.894 2.817 C
3.781 2.683 0.899 C
1.321 0.894 10.457 C
3.793 2.683 8.540 C
0.950 0.894 6.614 S
4.151 2.683 4.742 S
```

Values from the calculation:
The total magnetization comes out at 0.9 μB/f.u. The raw formation energy is -0.64 eV/atom. The calculation puts the uncorrected energy at -6.560 eV/atom.

Below is a relaxed structure of HfMgNi5, with properties calculated at the PBE level.

```
HfMgNi5
1.0
3.612 0.000 0.000
0.000 3.612 0.000
0.000 0.000 7.727
Hf Mg Ni
1 1 5
Cartesian
0.000 0.000 0.000 Hf
1.806 1.806 3.863 Mg
0.000 1.806 1.891 Ni
0.000 1.806 5.836 Ni
1.806 0.000 1.891 Ni
1.806 0.000 5.836 Ni
1.806 1.806 0.000 Ni
```

Values from the calculation:
The calculation puts the formation energy at -0.138 eV/atom. The total magnetization comes out at 0.0 μB/f.u. The calculation puts the uncorrected energy at -5.917 eV/atom.

Below is a relaxed structure of Cs2Ti3I10, with properties calculated at the PBE level.

```
Cs2Ti3I10
1.0
13.666 -4.132 0.000
13.666 4.132 0.000
-4.140 0.000 10.554
Cs Ti I
4 6 20
Cartesian
2.378 0.000 2.613 Cs
3.076 0.000 8.527 Cs
20.115 0.000 2.027 Cs
20.813 0.000 7.941 Cs
11.596 1.946 5.277 Ti
6.874 0.000 4.981 Ti
11.486 0.000 0.219 Ti
11.705 0.000 10.335 Ti
16.317 0.000 5.573 Ti
11.596 -1.946 5.277 Ti
4.763 2.066 5.277 I
-2.351 0.000 7.123 I
9.728 2.045 0.460 I
8.768 2.050 4.815 I
6.428 0.000 2.281 I
13.666 1.880 0.000 I
14.424 2.050 5.739 I
7.071 0.000 7.886 I
13.464 2.045 10.094 I
11.954 0.000 3.217 I
4.763 -2.066 5.277 I
11.238 0.000 7.337 I
9.728 -2.045 0.460 I
16.121 0.000 2.668 I
8.768 -2.050 4.815 I
13.666 -1.880 0.000 I
16.764 0.000 8.273 I
14.424 -2.050 5.739 I
13.464 -2.045 10.094 I
25.543 0.000 3.431 I
```

Values from the calculation:
The total magnetization comes out at 4.0 μB/f.u. The raw formation energy is -0.91 eV/atom. The calculation puts the uncorrected energy at -3.639 eV/atom.